1.
## TlCo2Ru (PBE)

Data for TlCo2Ru after structural relaxation.

Results
**Excess energy over the best structure of this formula in the dataset**: 175 meV/atom
**E_form**: 0.64 eV/atom
**Total DFT energy (no corrections)**: -5.821 eV/atom
**Calculated volume**: 182.3 Å³/cell

abc: 2.8668 2.8668 25.6069
angles: 90.00 90.00 120.00
Space group R3m (No. 160, hexagonal axes)
Asymmetric unit:
Tl 0.0000 0.0000 0.0000
Co 0.0000 0.0000 0.4945
Co 0.0000 0.0000 0.7579
Ru 0.0000 0.0000 0.2377

2.
## BaNa4Tl6 (PBE)

Data for BaNa4Tl6 after structural relaxation.

Results
**E_form**: -0.08 eV/atom
**Total DFT energy (no corrections)**: -2.026 eV/atom
**Calculated volume**: 772.4 Å³/cell

abc: 7.8209 7.8209 12.6281
angles: 90.00 90.00 90.00
Space group I-42m (No. 121)
Asymmetric unit:
Ba 0.0000 0.0000 0.0000
Na 0.2120 0.2120 0.6913
Tl 0.0000 0.5000 0.0000
Tl 0.1622 0.1622 0.4118

3.
## Ca2Cu3NiSn4 (PBE)

Data for Ca2Cu3NiSn4 after structural relaxation.

Results
**E_form**: -0.31 eV/atom
**Total DFT energy (no corrections)**: -4.115 eV/atom
**Calculated volume**: 214.1 Å³/cell

abc: 4.5007 4.5007 10.5673
angles: 90.00 90.00 90.00
Space group P-4m2 (No. 115)
Asymmetric unit:
Ca 0.0000 0.5000 0.2348
Cu 0.0000 0.0000 0.0000
Cu 0.0000 0.5000 0.6385
Ni 0.5000 0.5000 0.0000
Sn 0.0000 0.0000 0.5000
Sn 0.0000 0.5000 0.8801
Sn 0.5000 0.5000 0.5000

4.
## La2YPb (PBE)

Data for La2YPb after structural relaxation.

Results
**E_form**: -0.16 eV/atom
**Total DFT energy (no corrections)**: -5.167 eV/atom
**Calculated volume**: 503.5 Å³/cell

abc: 7.9555 7.9555 7.9555
angles: 90.00 90.00 90.00
Space group F-43m (No. 216)
Asymmetric unit:
La 0.0000 0.0000 0.0000
La 0.2500 0.2500 0.2500
Y 0.0000 0.0000 0.5000
Pb 0.2500 0.2500 0.7500